(1)
First-principles (PBE-GGA) data for a relaxed structure of LaTl2Cr, as listed in Alexandria.

VASP energy: -32.959 eV/cell
formation enthalpy at 0 K: 701 meV/atom

Cell and atoms, written as POSCAR:
```
LaTl2Cr
1.0
4.497 0.000 0.000
0.000 4.497 0.000
2.248 2.248 10.683
Cr La Tl
2 2 4
direct
0.500 0.500 0.000 Cr
0.250 0.750 0.500 Cr
0.750 0.250 0.500 La
0.000 0.000 0.000 La
0.875 0.832 0.750 Tl
0.168 0.625 0.250 Tl
0.375 0.418 0.750 Tl
0.582 0.125 0.250 Tl
```

---

(2)
First-principles (PBE-GGA) data for a relaxed structure of K4P2Ru, as listed in Alexandria.

VASP energy: -17.875 eV/cell
formation enthalpy at 0 K: 944 meV/atom

Cell and atoms, written as POSCAR:
```
K4P2Ru
1.0
5.564 0.000 0.000
0.000 5.564 0.000
2.782 2.782 8.346
K P Ru
4 2 1
direct
0.000 0.500 0.000 K
0.807 0.807 0.386 K
0.500 0.000 0.000 K
0.193 0.193 0.614 K
0.613 0.613 0.773 P
0.387 0.387 0.227 P
0.000 0.000 0.000 Ru
```

---

(3)
First-principles (PBE-GGA) data for a relaxed structure of LiCrFe2, as listed in Alexandria.

VASP energy: -26.857 eV/cell
formation enthalpy at 0 K: 401 meV/atom

Cell and atoms, written as POSCAR:
```
LiCrFe2
1.0
2.831 0.000 0.000
0.000 2.831 0.000
0.000 0.000 5.871
Li Fe Cr
1 2 1
direct
0.000 0.000 0.494 Li
0.500 0.500 0.239 Fe
0.000 0.000 0.992 Fe
0.500 0.500 0.775 Cr
```